[1]
Below is a relaxed TbGa3PtAu crystal, with properties calculated at the PBE-GGA level.

Output
Calculated total energy   -4.24 eV/atom
Formation energy   -2.41 eV/f.u.
D(E_F)   0.496 states/eV per atom
Density   9000 kg/m³
Total magnetization   0.000 μB per formula unit

Cell lengths 8.184, 8.184, 5.737 Å; angles 90.00, 90.00, 133.11 degrees
Fractional positions:
Tb 0.147 0.853 0.750
Tb 0.853 0.147 0.250
Ga 0.221 0.779 0.250
Ga 0.294 0.294 0.000
Ga 0.294 0.294 0.500
Ga 0.706 0.706 0.000
Ga 0.706 0.706 0.500
Ga 0.779 0.221 0.750
Pt 0.060 0.940 0.250
Pt 0.940 0.060 0.750
Au 0.381 0.619 0.250
Au 0.619 0.381 0.750

---

[2]
Below is a relaxed Tb2Ga3Pt4Au crystal, with properties calculated at the PBE-GGA level.

Output
Calculated total energy   -5.47 eV/atom
Formation energy   -8.88 eV/f.u.
D(E_F)   0.426 states/eV per atom
Density   13069 kg/m³
Total magnetization   0.000 μB per formula unit

Cell lengths 4.017, 4.017, 11.845 Å; angles 90.00, 90.00, 90.00 degrees
Fractional positions:
Tb 0.000 0.500 0.245
Tb 0.500 0.000 0.755
Ga 0.000 0.000 0.000
Ga 0.000 0.500 0.629
Ga 0.500 0.000 0.371
Pt 0.000 0.000 0.500
Pt 0.000 0.500 0.836
Pt 0.500 0.000 0.164
Pt 0.500 0.500 0.500
Au 0.500 0.500 0.000

---

[3]
Below is a relaxed TbGaPtAu crystal, with properties calculated at the PBE-GGA level.

Output
Calculated total energy   -5.00 eV/atom
Formation energy   -3.02 eV/f.u.
D(E_F)   0.296 states/eV per atom
Density   13240 kg/m³
Total magnetization   0.000 μB per formula unit

Cell lengths 6.778, 6.778, 6.778 Å; angles 90.00, 90.00, 90.00 degrees
Fractional positions:
Tb 0.000 0.000 0.000
Tb 0.000 0.500 0.500
Tb 0.500 0.000 0.500
Tb 0.500 0.500 0.000
Ga 0.000 0.000 0.500
Ga 0.000 0.500 0.000
Ga 0.500 0.000 0.000
Ga 0.500 0.500 0.500
Pt 0.250 0.250 0.250
Pt 0.250 0.750 0.750
Pt 0.750 0.250 0.750
Pt 0.750 0.750 0.250
Au 0.250 0.250 0.750
Au 0.250 0.750 0.250
Au 0.750 0.250 0.250
Au 0.750 0.750 0.750

---

[4]
Below is a relaxed Tb2Ga4Pt3Au crystal, with properties calculated at the PBE-GGA level.

Output
Calculated total energy   -5.15 eV/atom
Formation energy   -8.70 eV/f.u.
D(E_F)   0.395 states/eV per atom
Density   11966 kg/m³
Total magnetization   0.000 μB per formula unit

Cell lengths 4.207, 4.207, 10.809 Å; angles 90.00, 90.00, 90.00 degrees
Fractional positions:
Tb 0.000 0.500 0.242
Tb 0.500 0.000 0.758
Ga 0.000 0.000 0.000
Ga 0.000 0.500 0.638
Ga 0.500 0.000 0.362
Ga 0.500 0.500 0.000
Pt 0.000 0.500 0.865
Pt 0.500 0.000 0.135
Pt 0.500 0.500 0.500
Au 0.000 0.000 0.500

---

[5]
Below is a relaxed ThGa2Pt2Au crystal, with properties calculated at the PBE-GGA level.

Output
Calculated total energy   -5.61 eV/atom
Formation energy   -4.85 eV/f.u.
D(E_F)   0.376 states/eV per atom
Density   13819 kg/m³
Total magnetization   0.000 μB per formula unit

Cell lengths 4.399, 4.399, 6.872 Å; angles 90.00, 90.00, 120.00 degrees
Fractional positions:
Th 0.000 0.000 0.000
Ga 0.333 0.667 0.321
Ga 0.667 0.333 0.679
Pt 0.333 0.667 0.736
Pt 0.667 0.333 0.264
Au 0.000 0.000 0.500

---

[6]
Below is a relaxed Th2Ga4Pt3Au crystal, with properties calculated at the PBE-GGA level.

Output
Calculated total energy   -5.71 eV/atom
Formation energy   -8.76 eV/f.u.
D(E_F)   0.706 states/eV per atom
Density   12854 kg/m³
Total magnetization   0.000 μB per formula unit

Cell lengths 4.371, 4.371, 10.314 Å; angles 90.00, 90.00, 90.00 degrees
Fractional positions:
Th 0.000 0.500 0.246
Th 0.500 0.000 0.754
Ga 0.000 0.000 0.000
Ga 0.000 0.500 0.632
Ga 0.500 0.000 0.368
Ga 0.500 0.500 0.000
Pt 0.000 0.500 0.870
Pt 0.500 0.000 0.130
Pt 0.500 0.500 0.500
Au 0.000 0.000 0.500

---

[7]
Below is a relaxed Th2Ga4PtAu3 crystal, with properties calculated at the PBE-GGA level.

Output
Calculated total energy   -4.95 eV/atom
Formation energy   -6.66 eV/f.u.
D(E_F)   0.430 states/eV per atom
Density   12455 kg/m³
Total magnetization   0.000 μB per formula unit

Cell lengths 4.434, 4.434, 10.367 Å; angles 90.00, 90.00, 90.00 degrees
Fractional positions:
Th 0.000 0.500 0.239
Th 0.500 0.000 0.761
Ga 0.000 0.000 0.500
Ga 0.000 0.500 0.872
Ga 0.500 0.000 0.128
Ga 0.500 0.500 0.500
Pt 0.500 0.500 0.000
Au 0.000 0.000 0.000
Au 0.000 0.500 0.631
Au 0.500 0.000 0.369

---

[8]
Below is a relaxed TiGaPtAu crystal, with properties calculated at the PBE-GGA level.

Output
Calculated total energy   -5.60 eV/atom
Formation energy   -2.17 eV/f.u.
D(E_F)   0.386 states/eV per atom
Density   13002 kg/m³
Total magnetization   0.000 μB per formula unit

Cell lengths 6.385, 6.385, 6.385 Å; angles 90.00, 90.00, 90.00 degrees
Fractional positions:
Ti 0.000 0.000 0.000
Ti 0.000 0.500 0.500
Ti 0.500 0.000 0.500
Ti 0.500 0.500 0.000
Ga 0.000 0.000 0.500
Ga 0.000 0.500 0.000
Ga 0.500 0.000 0.000
Ga 0.500 0.500 0.500
Pt 0.250 0.250 0.250
Pt 0.250 0.750 0.750
Pt 0.750 0.250 0.750
Pt 0.750 0.750 0.250
Au 0.250 0.250 0.750
Au 0.250 0.750 0.250
Au 0.750 0.250 0.250
Au 0.750 0.750 0.750